# 1
Here is a geometry-optimized Zr3CrI structure from Alexandria via LeMat-Bulk. Energies are from PBE-GGA.

```
5
Lattice="5.234 0.000 0.000 0.000 5.234 0.000 0.000 0.000 5.234" Properties=species:S:1:pos:R:3 pbc="T T T"
Zr 0.000 0.000 2.617
Zr 0.000 2.617 0.000
Zr 2.617 0.000 0.000
Cr 2.617 2.617 2.617
I 0.000 0.000 0.000
```

Summary:
**Raw formation energy**: 1176 meV per atom
**Symmetry**: Pm-3m, No. 221
**Crystal system**: cubic

***

# 2
Here is a geometry-optimized ZrCrI3 structure from Alexandria via LeMat-Bulk. Energies are from PBE-GGA.

```
5
Lattice="5.754 0.000 0.000 0.000 5.754 0.000 0.000 0.000 5.754" Properties=species:S:1:pos:R:3 pbc="T T T"
Zr 0.000 0.000 0.000
Cr 2.877 2.877 2.877
I 0.000 0.000 2.877
I 0.000 2.877 0.000
I 2.877 0.000 0.000
```

Summary:
**Raw formation energy**: 157 meV per atom
**Symmetry**: Pm-3m, No. 221
**ΔE to the lowest computed polymorph**: 0 meV per atom
**Crystal system**: cubic

***

# 3
Here is a geometry-optimized ZrCrI3 structure from Alexandria via LeMat-Bulk. Energies are from PBE-GGA.

```
5
Lattice="5.473 0.000 0.000 0.000 5.473 0.000 0.000 0.000 5.473" Properties=species:S:1:pos:R:3 pbc="T T T"
Zr 0.000 0.000 0.000
Cr 2.737 2.737 2.737
I 0.000 2.737 2.737
I 2.737 0.000 2.737
I 2.737 2.737 0.000
```

Summary:
**Raw formation energy**: 534 meV per atom
**Symmetry**: Pm-3m, No. 221
**ΔE to the lowest computed polymorph**: 377 meV per atom
**Crystal system**: cubic

***

# 4
Here is a geometry-optimized ZrCr3I structure from Alexandria via LeMat-Bulk. Energies are from PBE-GGA.

```
5
Lattice="4.871 0.000 0.000 0.000 4.871 0.000 0.000 0.000 4.871" Properties=species:S:1:pos:R:3 pbc="T T T"
Zr 0.000 0.000 0.000
Cr 0.000 2.435 2.435
Cr 2.435 0.000 2.435
Cr 2.435 2.435 0.000
I 2.435 2.435 2.435
```

Summary:
**Raw formation energy**: 1494 meV per atom
**Symmetry**: Pm-3m, No. 221
**ΔE to the lowest computed polymorph**: 0 meV per atom
**Crystal system**: cubic

***

| no. | total moment (μB/f.u.) | raw total energy (eV per cell) |
| --- | --- | --- |
| 1 | 2.863 | -30.936 |
| 2 | 6.349 | -22.037 |
| 3 | 4.591 | -20.154 |
| 4 | 8.886 | -31.499 |